# SrSeI2O

SrSeI2O at its PBEsol-relaxed geometry (SCAN, Alexandria via LeMat-Bulk).

Unit cell a=5.9127 b=5.9127 c=3.9463 alpha=90.00 beta=90.00 gamma=90.00
Atoms (fractional coordinates):
Sr1 0.0000 0.0000 0.0000
Se1 0.5000 0.5000 0.5000
I1 0.0000 0.5000 0.5000
I2 0.5000 0.0000 0.5000
O1 0.5000 0.5000 0.0000

Results
Mass density: 5.25 Mg/m³
Raw total energy: -125.52 eV per cell
Raw formation energy: -0.691 eV per atom
M_tot: 0.00 μB/f.u.
Symmetry: No. 123